Material: K3CaBi2Se6
Method: DFT, PBE
State: relaxed

extended XYZ file:
```
12
Lattice="-6.089 3.626 2.218 1.055 -7.067 2.020 5.428 3.534 4.976" Properties=species:S:1:pos:R:3 pbc="T T T"
Se -0.749 1.975 7.192
Ca 0.000 0.000 0.000
K 0.197 0.046 4.607
Se 1.660 -1.631 7.125
K 2.572 -3.509 4.541
Se 2.941 1.871 5.060
Bi -3.707 0.062 2.152
Se 1.143 -1.882 2.023
Se -1.266 1.724 2.089
Bi -1.326 -3.503 2.086
K -2.178 3.602 4.673
Se -2.546 -1.778 4.155
```

Summary:
- space-group type = No. 12
- energy (eV/atom) = -3.814
- ρ (Mg/m³) = 4.69

=====

Material: KCa2TiBi
Method: DFT, PBE
State: relaxed

extended XYZ file:
```
5
Lattice="6.205 0.000 0.000 0.000 5.534 0.000 0.000 0.000 6.205" Properties=species:S:1:pos:R:3 pbc="T T T"
Ca 3.102 0.000 0.000
Ti 0.000 2.767 0.000
Ca 0.000 0.000 3.102
K 3.102 2.767 3.102
Bi 0.000 0.000 0.000
```

Summary:
- E_form (eV/atom) = 0.26
- space-group type = No. 123
- energy (eV/atom) = -3.116
- ρ (Mg/m³) = 2.93

=====

Material: KCaTlBi
Method: DFT, PBE
State: relaxed

extended XYZ file:
```
4
Lattice="-4.374 1.011 -3.618 -4.534 -3.560 -0.107 -5.094 1.756 2.054" Properties=species:S:1:pos:R:3 pbc="T T T"
Ca -10.502 -0.595 -1.254
K -3.501 -0.198 -0.418
Bi -7.001 -0.397 -0.836
Tl 0.000 0.000 0.000
```

Summary:
- E_form (eV/atom) = -0.35
- space-group type = No. 216
- energy (eV/atom) = -2.690
- ρ (Mg/m³) = 6.03

=====

Material: K2CaZnBi2
Method: DFT, PBE
State: relaxed

extended XYZ file:
```
12
Lattice="-1.163 5.444 4.489 -2.249 -4.761 5.191 9.505 -0.979 -2.046" Properties=species:S:1:pos:R:3 pbc="T T T"
K 5.341 -1.703 0.752
Zn -2.268 -0.848 6.138
K 0.752 1.407 6.882
K 2.427 1.210 2.161
Bi 5.974 0.702 3.232
Ca -1.687 -3.570 3.893
Bi 5.367 -4.101 3.830
Bi 0.725 3.805 3.804
Bi 0.119 -0.997 4.402
Zn -1.144 1.532 3.542
K 3.666 -1.505 5.473
Ca -0.562 -1.190 1.298
```

Summary:
- E_form (eV/atom) = -0.47
- space-group type = No. 72
- energy (eV/atom) = -2.674
- ρ (Mg/m³) = 4.55